[1]
4
Lattice="4.316 0.000 0.000 2.158 3.738 0.000 2.158 1.246 4.613" Properties=species:S:1:pos:R:3 comment="NdCu2Ir | Alexandria | PBE | relaxed" formation_energy_mev_per_atom=-200 dos_ef_per_ev_fu=2.055 pbc="T T T"
Cu 6.475 3.738 2.814
Cu 2.158 1.246 1.799
Ir 4.316 2.492 2.307
Nd 0.000 0.000 0.000

---

[2]
8
Lattice="3.807 0.000 0.000 0.000 3.807 0.000 0.000 0.000 15.595" Properties=species:S:1:pos:R:3 comment="Nd4Mg3Zn | Alexandria | PBE | relaxed" formation_energy_mev_per_atom=-156 dos_ef_per_ev_fu=9.815 pbc="T T T"
Nd 0.000 0.000 5.796
Nd 0.000 0.000 13.860
Nd 0.000 0.000 1.734
Nd 0.000 0.000 9.798
Mg 1.904 1.904 7.797
Mg 1.904 1.904 3.806
Mg 1.904 1.904 11.789
Zn 1.904 1.904 0.000

---

[3]
8
Lattice="-2.887 3.156 -3.325 -0.078 0.905 5.341 6.858 5.415 -0.817" Properties=species:S:1:pos:R:3 comment="YCd | Alexandria | PBE | relaxed" formation_energy_mev_per_atom=136 dos_ef_per_ev_fu=1.980 pbc="T T T"
Cd -0.391 2.147 2.378
Cd 1.791 3.870 2.118
Cd 2.102 5.605 -0.919
Cd 4.284 7.328 -1.179
Y 4.129 5.716 1.840
Y -0.236 3.759 -0.640
Y 1.715 1.354 -0.204
Y 5.144 4.061 -0.613

---

[4]
6
Lattice="4.536 -0.522 0.000 -1.810 4.191 0.000 0.000 0.000 5.815" Properties=species:S:1:pos:R:3 comment="PuTiRh | Alexandria | PBE | relaxed" formation_energy_mev_per_atom=-96 relative_energy_ev_per_atom=0.216 dos_ef_per_ev_fu=6.180 pbc="T T T"
Ti 2.419 1.050 4.361
Ti 0.307 2.619 1.454
Rh 0.000 0.000 2.907
Rh 0.000 0.000 0.000
Pu 2.422 1.048 1.454
Pu 0.303 2.621 4.361

---

[5]
5
Lattice="4.512 0.000 0.000 0.000 4.512 0.000 0.000 0.000 4.512" Properties=species:S:1:pos:R:3 comment="LaCoSi3 | Alexandria | PBE | relaxed" e_form_raw_ev_per_atom=-0.1360 dos_ef_per_ev_fu=4.503 pbc="T T T"
La 2.256 2.256 2.256
Si 0.000 2.256 0.000
Si 0.000 0.000 2.256
Si 2.256 0.000 0.000
Co 0.000 0.000 0.000

---

[6]
4
Lattice="5.642 0.003 0.008 2.851 4.868 -0.008 -3.546 -3.657 2.426" Properties=species:S:1:pos:R:3 comment="CdIrPt2 | Alexandria | PBE | relaxed" formation_energy_mev_per_atom=105 dos_ef_per_ev_fu=5.691 pbc="T T T"
Ir 1.776 1.824 1.209
Cd 3.171 -0.609 1.217
Pt 4.136 2.372 0.000
Pt 0.111 0.063 0.000

---

Copy entry 5 word for word.
5
Lattice="4.512 0.000 0.000 0.000 4.512 0.000 0.000 0.000 4.512" Properties=species:S:1:pos:R:3 comment="LaCoSi3 | Alexandria | PBE | relaxed" e_form_raw_ev_per_atom=-0.1360 dos_ef_per_ev_fu=4.503 pbc="T T T"
La 2.256 2.256 2.256
Si 0.000 2.256 0.000
Si 0.000 0.000 2.256
Si 2.256 0.000 0.000
Co 0.000 0.000 0.000

---

What did the second record say?
8
Lattice="3.807 0.000 0.000 0.000 3.807 0.000 0.000 0.000 15.595" Properties=species:S:1:pos:R:3 comment="Nd4Mg3Zn | Alexandria | PBE | relaxed" formation_energy_mev_per_atom=-156 dos_ef_per_ev_fu=9.815 pbc="T T T"
Nd 0.000 0.000 5.796
Nd 0.000 0.000 13.860
Nd 0.000 0.000 1.734
Nd 0.000 0.000 9.798
Mg 1.904 1.904 7.797
Mg 1.904 1.904 3.806
Mg 1.904 1.904 11.789
Zn 1.904 1.904 0.000

---

What did the sixth record say?
4
Lattice="5.642 0.003 0.008 2.851 4.868 -0.008 -3.546 -3.657 2.426" Properties=species:S:1:pos:R:3 comment="CdIrPt2 | Alexandria | PBE | relaxed" formation_energy_mev_per_atom=105 dos_ef_per_ev_fu=5.691 pbc="T T T"
Ir 1.776 1.824 1.209
Cd 3.171 -0.609 1.217
Pt 4.136 2.372 0.000
Pt 0.111 0.063 0.000